[1]
Cs3Ba2WO6: optimized geometry, PBE with a Hubbard U. Values from VASP.

Quantum ESPRESSO input file:
```
&SYSTEM
  ibrav = 0, nat = 12, ntyp = 4
/
ATOMIC_SPECIES
Cs 132.91 Cs.upf
Ba 137.33 Ba.upf
W 183.84 W.upf
O 16.00 O.upf
CELL_PARAMETERS angstrom
-1.759 -0.624 6.328
-2.327 -4.218 -4.507
6.760 -2.530 0.484
ATOMIC_POSITIONS crystal
Cs 0.162 0.838 0.500
Cs 0.838 0.162 0.500
Cs 0.500 0.500 0.500
Ba 0.333 0.667 0.000
Ba 0.667 0.333 0.000
W 0.000 0.000 0.000
O 0.945 0.694 0.839
O 0.805 0.805 0.164
O 0.055 0.306 0.161
O 0.694 0.945 0.839
O 0.195 0.195 0.836
O 0.306 0.055 0.161
```

Properties
* E_tot: -66.51 eV per cell
* calculated volume: 21.64 Å³/atom
* magnetic moment: 0.40 μB per formula unit
* density of states at the Fermi level: 2.85 states/eV/f.u.

---

[2]
Cs2Ba2WO6: optimized geometry, PBE with a Hubbard U. Values from VASP.

Quantum ESPRESSO input file:
```
&SYSTEM
  ibrav = 0, nat = 11, ntyp = 4
/
ATOMIC_SPECIES
Cs 132.91 Cs.upf
Ba 137.33 Ba.upf
W 183.84 W.upf
O 16.00 O.upf
CELL_PARAMETERS angstrom
-3.326 1.659 -5.235
-3.012 0.045 5.670
3.549 6.155 0.809
ATOMIC_POSITIONS crystal
Cs 0.837 0.163 0.000
Cs 0.163 0.837 0.000
Ba 0.337 0.663 0.500
Ba 0.663 0.337 0.500
W 0.000 0.000 0.500
O 0.802 0.802 0.671
O 0.042 0.301 0.657
O 0.198 0.198 0.329
O 0.301 0.042 0.657
O 0.958 0.699 0.343
O 0.699 0.958 0.343
```

Properties
* E_tot: -66.51 eV per cell
* calculated volume: 22.84 Å³/atom
* magnetic moment: 0.00 μB per formula unit
* density of states at the Fermi level: 0.00 states/eV/f.u.

---

Repeat the second record exactly.
Cs2Ba2WO6: optimized geometry, PBE with a Hubbard U. Values from VASP.

Quantum ESPRESSO input file:
```
&SYSTEM
  ibrav = 0, nat = 11, ntyp = 4
/
ATOMIC_SPECIES
Cs 132.91 Cs.upf
Ba 137.33 Ba.upf
W 183.84 W.upf
O 16.00 O.upf
CELL_PARAMETERS angstrom
-3.326 1.659 -5.235
-3.012 0.045 5.670
3.549 6.155 0.809
ATOMIC_POSITIONS crystal
Cs 0.837 0.163 0.000
Cs 0.163 0.837 0.000
Ba 0.337 0.663 0.500
Ba 0.663 0.337 0.500
W 0.000 0.000 0.500
O 0.802 0.802 0.671
O 0.042 0.301 0.657
O 0.198 0.198 0.329
O 0.301 0.042 0.657
O 0.958 0.699 0.343
O 0.699 0.958 0.343
```

Properties
* E_tot: -66.51 eV per cell
* calculated volume: 22.84 Å³/atom
* magnetic moment: 0.00 μB per formula unit
* density of states at the Fermi level: 0.00 states/eV/f.u.